# 1
The following is a DFT calculation (PBE) of an optimized crystal structure of YZrW2.

The calculation puts the formation energy at 0.546 eV per atom. Its electronic total energy is -9.68 eV/atom. The excess energy over the best structure of this formula in the dataset comes out at 338.4 meV per atom.

It has space group Cm (No. 8), with a = 9.678 Å, b = 2.822 Å, c = 5.857 Å, α = 90.00°, β = 90.47° and γ = 90.00°. The inequivalent atoms are Y at (0.000, 0.000, 0.000), Zr at (0.252, 0.500, 0.263), W at (0.254, 0.000, 0.729) and W at (0.495, 0.000, 0.516).

# 2
The following is a DFT calculation (PBE) of an optimized crystal structure of Li3Th2Pd4.

The calculation puts the formation energy at -0.576 eV per atom. Its electronic total energy is -5.17 eV/atom.

It has space group Cmce (No. 64), with a = 5.596 Å, b = 15.719 Å, c = 7.541 Å, α = 90.00°, β = 90.00° and γ = 90.00°. The inequivalent atoms are Li at (0.000, 0.000, 0.000), Li at (0.250, 0.221, 0.250), Th at (0.000, 0.113, 0.580), Pd at (0.000, 0.172, 0.967) and Pd at (0.250, 0.057, 0.250).

# 3
The following is a DFT calculation (PBE) of an optimized crystal structure of Al2SbI8.

Its electronic total energy is -2.68 eV/atom. The uncorrected formation energy comes out at -0.499 eV per atom.

It has space group C2/m (No. 12), with a = 13.559 Å, b = 11.330 Å, c = 7.875 Å, α = 90.00°, β = 90.67° and γ = 90.00°. The inequivalent atoms are Al at (0.214, 0.000, 0.177), Sb at (0.000, 0.000, 0.500), I at (0.111, 0.182, 0.290), I at (0.117, 0.500, 0.690) and I at (0.211, 0.000, 0.857).

# 4
The following is a DFT calculation (PBE) of an optimized crystal structure of Dy4CSe2Cl.

Its electronic total energy is -5.92 eV/atom. The uncorrected formation energy comes out at -1.363 eV per atom.

It has space group P2/m (No. 10), with a = 6.857 Å, b = 3.847 Å, c = 6.910 Å, α = 90.00°, β = 108.23° and γ = 90.00°. The inequivalent atoms are Dy at (0.207, 0.000, 0.206), Dy at (0.224, 0.500, 0.780), C at (0.000, 0.500, 0.000), Se at (0.500, 0.000, 0.000), Se at (0.500, 0.500, 0.500) and Cl at (0.000, 0.000, 0.500).

# 5
The following is a DFT calculation (PBE) of an optimized crystal structure of CaGe3H.

Its electronic total energy is -3.82 eV/atom. The excess energy over the best structure of this formula in the dataset comes out at 0.0 meV per atom.

It has space group Pm-3m (No. 221), with a = 4.423 Å, b = 4.423 Å, c = 4.423 Å, α = 90.00°, β = 90.00° and γ = 90.00°. The inequivalent atoms are Ca at (0.000, 0.000, 0.000), Ge at (0.000, 0.500, 0.500) and H at (0.500, 0.500, 0.500).

# 6
The following is a DFT calculation (PBE) of an optimized crystal structure of Sr2Sb2Pt.

Its electronic total energy is -4.27 eV/atom. The excess energy over the best structure of this formula in the dataset comes out at 175.8 meV per atom. The uncorrected formation energy comes out at -0.742 eV per atom.

It has space group P4/mbm (No. 127), with a = 7.524 Å, b = 7.524 Å, c = 5.019 Å, α = 90.00°, β = 90.00° and γ = 90.00°. The inequivalent atoms are Sr at (0.167, 0.333, 0.000), Sb at (0.148, 0.648, 0.500) and Pt at (0.000, 0.000, 0.500).

The lowest electronic total energy belongs to which entry?
YZrW2